# 1
{"formula": "TbHo3Hg12", "functional": "PBE-GGA", "state": "optimized geometry", "cell": [[4.5079, 0.0000, 0.0000], [0.0000, 4.5079, 0.0000], [0.0000, 0.0000, 19.2222]], "species": ["Tb", "Ho", "Ho", "Ho", "Hg", "Hg", "Hg", "Hg", "Hg", "Hg", "Hg", "Hg", "Hg", "Hg", "Hg", "Hg"], "frac_coords": [[0.0000, 0.0000, 0.0000], [0.0000, 0.0000, 0.2507], [0.0000, 0.0000, 0.5000], [0.0000, 0.0000, 0.7493], [0.5000, 0.5000, 0.0000], [0.5000, 0.5000, 0.2504], [0.5000, 0.5000, 0.5000], [0.5000, 0.5000, 0.7496], [0.5000, 0.0000, 0.1258], [0.5000, 0.0000, 0.3753], [0.5000, 0.0000, 0.6247], [0.5000, 0.0000, 0.8742], [0.0000, 0.5000, 0.1258], [0.0000, 0.5000, 0.3753], [0.0000, 0.5000, 0.6247], [0.0000, 0.5000, 0.8742]], "formation_enthalpy_0k_ev_per_atom": -0.31, "dft_energy_ry_per_atom": -0.1238}


# 2
{"formula": "Tb4Ho5Hg", "functional": "PBE-GGA", "state": "optimized geometry", "cell": [[3.5542, 0.0000, 0.0000], [0.0000, 3.5542, 0.0000], [0.0000, 0.0000, 24.0116]], "species": ["Tb", "Tb", "Tb", "Tb", "Ho", "Ho", "Ho", "Ho", "Ho", "Hg"], "frac_coords": [[0.0000, 0.0000, 0.1879], [0.0000, 0.0000, 0.3961], [0.0000, 0.0000, 0.6039], [0.0000, 0.0000, 0.8121], [0.5000, 0.5000, 0.0835], [0.5000, 0.5000, 0.2916], [0.5000, 0.5000, 0.5000], [0.5000, 0.5000, 0.7084], [0.5000, 0.5000, 0.9165], [0.0000, 0.0000, 0.0000]], "formation_enthalpy_0k_ev_per_atom": -0.08, "dft_energy_ry_per_atom": -0.3125}


# 3
{"formula": "Tb3Ho4Hg4", "functional": "PBE-GGA", "state": "optimized geometry", "cell": [[5.1748, 0.0000, 0.0000], [0.0000, 7.2043, 0.0000], [-2.5874, -3.6021, 8.3394]], "species": ["Tb", "Tb", "Tb", "Ho", "Ho", "Ho", "Ho", "Hg", "Hg", "Hg", "Hg"], "frac_coords": [[0.1022, 0.1022, 0.2045], [0.8978, 0.8978, 0.7955], [0.0000, 0.5000, 0.0000], [0.3218, 0.0889, 0.6436], [0.6782, 0.4453, 0.3564], [0.6782, 0.9111, 0.3564], [0.3218, 0.5547, 0.6436], [0.1853, 0.6853, 0.3706], [0.8147, 0.3147, 0.6294], [0.5000, 0.7927, 0.0000], [0.5000, 0.2073, 0.0000]], "formation_enthalpy_0k_ev_per_atom": -0.25, "dft_energy_ry_per_atom": -0.2419}


Repeat the third record exactly.
{"formula": "Tb3Ho4Hg4", "functional": "PBE-GGA", "state": "optimized geometry", "cell": [[5.1748, 0.0000, 0.0000], [0.0000, 7.2043, 0.0000], [-2.5874, -3.6021, 8.3394]], "species": ["Tb", "Tb", "Tb", "Ho", "Ho", "Ho", "Ho", "Hg", "Hg", "Hg", "Hg"], "frac_coords": [[0.1022, 0.1022, 0.2045], [0.8978, 0.8978, 0.7955], [0.0000, 0.5000, 0.0000], [0.3218, 0.0889, 0.6436], [0.6782, 0.4453, 0.3564], [0.6782, 0.9111, 0.3564], [0.3218, 0.5547, 0.6436], [0.1853, 0.6853, 0.3706], [0.8147, 0.3147, 0.6294], [0.5000, 0.7927, 0.0000], [0.5000, 0.2073, 0.0000]], "formation_enthalpy_0k_ev_per_atom": -0.25, "dft_energy_ry_per_atom": -0.2419}


- Which formula does entry 1 have?
  TbHo3Hg12